(1)
This record from OQMD via LeMat-Bulk describes a relaxed structure of ErCo2Si2. The functional is PBE-GGA.

DFT total energy, eV per formula unit: -33.78
Volume, Å³/atom: 14.39

Cell: 5.5587 5.5587 5.5587 Å, 139.45 139.45 58.70°
Closest atoms and distances in Å follow each position.
Element x y z (fractional)
Er 0.0000 0.0000 0.0000  8 Si 2.99, 8 Co 3.10
Co 0.2500 0.7500 0.5000  4 Si 2.26
Co 0.7500 0.2500 0.5000  4 Si 2.26
Si 0.3727 0.3727 0.0000  4 Co 2.26, 1 Si 2.47
Si 0.6273 0.6273 0.0000  4 Co 2.26, 1 Si 2.47

---

(2)
This record from OQMD via LeMat-Bulk describes a relaxed structure of Er5Co4Si14. The functional is PBE-GGA.

DFT total energy, eV per formula unit: -142.31
Volume, Å³/atom: 15.88

Cell: 12.3174 7.7840 7.7110 Å, 90.00 98.85 90.00°
Closest atoms and distances in Å follow each position.
Element x y z (fractional)
Er 0.0000 0.0000 0.0000  12 Si 2.89-3.04, 6 Co 3.03-3.07
Er 0.0000 0.5000 0.5000  12 Si 2.89-3.04, 6 Co 3.03-3.07
Er 0.3647 0.2482 0.3421  10 Si 2.88-3.08, 2 Co 3.08-3.09
Er 0.3647 0.2518 0.8421  10 Si 2.88-3.08, 2 Co 3.08-3.09
Er 0.3649 0.7490 0.3397  10 Si 2.87-3.06, 2 Co 3.07-3.09
Er 0.3649 0.7510 0.8397  10 Si 2.87-3.06, 2 Co 3.07-3.09
Er 0.6351 0.2490 0.1603  10 Si 2.87-3.06, 2 Co 3.07-3.09
Er 0.6351 0.2510 0.6603  10 Si 2.87-3.06, 2 Co 3.07-3.09
Er 0.6353 0.7482 0.1579  10 Si 2.88-3.08, 2 Co 3.08-3.09
Er 0.6353 0.7518 0.6579  10 Si 2.88-3.08, 2 Co 3.08-3.09
Co 0.9998 0.1264 0.6277  7 Si 2.27-2.48
Co 0.9998 0.3736 0.1277  7 Si 2.27-2.48
Co 0.0002 0.6264 0.8723  7 Si 2.27-2.48
Co 0.0002 0.8736 0.3723  7 Si 2.27-2.48
Co 0.2489 0.9997 0.0609  5 Si 2.29-2.32
Co 0.2489 0.5003 0.5609  5 Si 2.29-2.32
Co 0.7511 0.0003 0.9391  5 Si 2.29-2.32
Co 0.7511 0.4997 0.4391  5 Si 2.29-2.32
Si 0.0002 0.1662 0.3345  3 Co 2.27-2.30
Si 0.0002 0.3338 0.8345  3 Co 2.27-2.30
Si 0.9998 0.6662 0.1655  3 Co 2.27-2.30
Si 0.9998 0.8338 0.6655  3 Co 2.27-2.30
Si 0.1774 0.2260 0.5501  2 Co 2.31-2.48, 3 Si 2.40-2.57
Si 0.1774 0.2740 0.0501  2 Co 2.31-2.48, 3 Si 2.40-2.57
Si 0.1774 0.7258 0.0381  2 Co 2.30-2.48, 3 Si 2.41-2.57
Si 0.1774 0.7742 0.5381  2 Co 2.30-2.48, 3 Si 2.41-2.57
Si 0.1777 0.0058 0.7688  2 Co 2.29-2.48, 2 Si 2.40-2.53
Si 0.1777 0.4942 0.2688  2 Co 2.29-2.48, 2 Si 2.40-2.53
Si 0.1781 0.5058 0.8186  2 Co 2.29-2.48, 2 Si 2.41-2.54
Si 0.1781 0.9942 0.3186  2 Co 2.29-2.48, 2 Si 2.41-2.54
Si 0.4399 0.0003 0.1093  1 Co 2.32, 2 Si 2.41
Si 0.4399 0.4997 0.6093  1 Co 2.32, 2 Si 2.41
Si 0.4410 0.0004 0.6117  2 Si 2.41-2.42
Si 0.4410 0.4996 0.1117  2 Si 2.41-2.42
Si 0.5590 0.9996 0.3883  2 Si 2.41-2.42
Si 0.5590 0.5004 0.8883  2 Si 2.41-2.42
Si 0.5601 0.9997 0.8907  1 Co 2.32, 2 Si 2.41
Si 0.5601 0.5003 0.3907  1 Co 2.32, 2 Si 2.41
Si 0.8219 0.0058 0.6814  2 Co 2.29-2.48, 2 Si 2.41-2.54
Si 0.8219 0.4942 0.1814  2 Co 2.29-2.48, 2 Si 2.41-2.54
Si 0.8223 0.5058 0.7312  2 Co 2.29-2.48, 2 Si 2.40-2.53
Si 0.8223 0.9942 0.2312  2 Co 2.29-2.48, 2 Si 2.40-2.53
Si 0.8226 0.2258 0.4619  2 Co 2.30-2.48, 3 Si 2.41-2.57
Si 0.8226 0.2742 0.9619  2 Co 2.30-2.48, 3 Si 2.41-2.57
Si 0.8226 0.7260 0.9499  2 Co 2.31-2.48, 3 Si 2.40-2.57
Si 0.8226 0.7740 0.4499  2 Co 2.31-2.48, 3 Si 2.40-2.57

---

(3)
This record from OQMD via LeMat-Bulk describes a relaxed structure of ErCoSi. The functional is PBE-GGA.

DFT total energy, eV per formula unit: -19.35
Volume, Å³/atom: 16.24

Cell: 6.7825 4.1338 6.9520 Å, 90.00 90.00 90.00°
Closest atoms and distances in Å follow each position.
Element x y z (fractional)
Er 0.0132 0.2500 0.1905  4 Co 2.83-2.90, 6 Si 2.89-3.13
Er 0.4868 0.7500 0.6905  4 Co 2.83-2.90, 6 Si 2.89-3.13
Er 0.5132 0.2500 0.3095  4 Co 2.83-2.90, 6 Si 2.89-3.13
Er 0.9868 0.7500 0.8095  4 Co 2.83-2.90, 6 Si 2.89-3.13
Co 0.1490 0.7500 0.4338  4 Si 2.36-2.52
Co 0.3510 0.2500 0.9338  4 Si 2.36-2.52
Co 0.6490 0.7500 0.0662  4 Si 2.36-2.52
Co 0.8510 0.2500 0.5662  4 Si 2.36-2.52
Si 0.1971 0.2500 0.6039  4 Co 2.36-2.52
Si 0.3029 0.7500 0.1039  4 Co 2.36-2.52
Si 0.6971 0.2500 0.8961  4 Co 2.36-2.52
Si 0.8029 0.7500 0.3961  4 Co 2.36-2.52

---

(4)
This record from OQMD via LeMat-Bulk describes a relaxed structure of ErCoSi2. The functional is PBE-GGA.

DFT total energy, eV per formula unit: -25.63
Volume, Å³/atom: 15.92

Cell: 8.3531 8.3531 3.9453 Å, 90.00 90.00 152.44°
Closest atoms and distances in Å follow each position.
Element x y z (fractional)
Er 0.1075 0.8925 0.7500  10 Si 2.99-3.14, 4 Co 3.03
Er 0.8925 0.1075 0.2500  10 Si 2.99-3.14, 4 Co 3.03
Co 0.3219 0.6781 0.7500  5 Si 2.20-2.31
Co 0.6781 0.3219 0.2500  5 Si 2.20-2.31
Si 0.2500 0.7500 0.2500  4 Co 2.29-2.31
Si 0.4577 0.5423 0.7500  1 Co 2.20, 2 Si 2.40
Si 0.5423 0.4577 0.2500  1 Co 2.20, 2 Si 2.40
Si 0.7500 0.2500 0.7500  4 Co 2.29-2.31

---

(5)
This record from OQMD via LeMat-Bulk describes a relaxed structure of ErCo3Si2. The functional is PBE-GGA.

DFT total energy, eV per formula unit: -41.12
Volume, Å³/atom: 13.35

Cell: 6.2210 6.2210 6.2210 Å, 113.03 87.59 130.61°
Closest atoms and distances in Å follow each position.
Element x y z (fractional)
Er 0.4672 0.2172 0.2500  12 Co 2.94-3.29, 6 Si 2.96-3.07
Er 0.5328 0.7828 0.7500  12 Co 2.94-3.29, 6 Si 2.96-3.07
Co 0.0000 0.0000 0.5000  4 Si 2.31
Co 0.0000 0.2234 0.2234  4 Si 2.28-2.29
Co 0.0000 0.5000 0.0000  4 Si 2.31
Co 0.0000 0.7766 0.7766  4 Si 2.28-2.29
Co 0.5000 0.2234 0.7234  4 Si 2.28-2.29
Co 0.5000 0.7766 0.2766  4 Si 2.28-2.29
Si 0.1251 0.7054 0.4196  6 Co 2.28-2.31
Si 0.2142 0.2946 0.9196  6 Co 2.28-2.31
Si 0.7858 0.7054 0.0804  6 Co 2.28-2.31
Si 0.8749 0.2946 0.5804  6 Co 2.28-2.31

---

(6)
This record from OQMD via LeMat-Bulk describes a relaxed structure of ErCoSi. The functional is PBE-GGA.

DFT total energy, eV per formula unit: -18.12
Volume, Å³/atom: 18.03

Cell: 4.2453 4.2453 4.2453 Å, 60.00 60.00 60.00°
Closest atoms and distances in Å follow each position.
Element x y z (fractional)
Er 0.0000 0.0000 0.0000  4 Co 2.60
Co 0.2500 0.2500 0.2500  4 Si 2.60, 4 Er 2.60
Si 0.5000 0.5000 0.5000  4 Co 2.60

---

(7)
This record from OQMD via LeMat-Bulk describes a relaxed structure of ErCoSi. The functional is PBE-GGA.

DFT total energy, eV per formula unit: -17.09
Volume, Å³/atom: 17.26

Cell: 7.6276 7.6276 3.0836 Å, 90.00 90.00 120.00°
Closest atoms and distances in Å follow each position.
Element x y z (fractional)
Er 0.0000 0.2908 0.0000  4 Si 2.70-2.72, 2 Co 2.82
Er 0.2908 0.0000 0.0000  4 Si 2.70-2.72, 2 Co 2.82
Er 0.7092 0.7092 0.0000  4 Si 2.70-2.72, 2 Co 2.82
Co 0.0000 0.6009 0.5000  5 Si 2.80-3.04, 2 Er 2.82, 2 Co 3.08
Co 0.3991 0.3991 0.5000  5 Si 2.80-3.04, 2 Er 2.82, 2 Co 3.08
Co 0.6009 0.0000 0.5000  5 Si 2.80-3.04, 2 Er 2.82, 2 Co 3.08
Si 0.0000 0.0000 0.5000  6 Er 2.70
Si 0.3333 0.6667 0.0000  3 Er 2.72, 6 Co 2.80
Si 0.6667 0.3333 0.0000  3 Er 2.72, 6 Co 2.80

---

(8)
This record from OQMD via LeMat-Bulk describes a relaxed structure of ErCoSi3. The functional is PBE-GGA.

DFT total energy, eV per formula unit: -31.20
Volume, Å³/atom: 16.04

Cell: 10.6529 10.6529 3.9272 Å, 90.00 90.00 158.90°
Closest atoms and distances in Å follow each position.
Element x y z (fractional)
Er 0.1689 0.8311 0.0000  10 Si 2.94-3.11, 4 Co 3.03
Er 0.8311 0.1689 0.0000  10 Si 2.94-3.11, 4 Co 3.03
Co 0.3905 0.6095 0.5000  5 Si 2.23-2.26
Co 0.6095 0.3905 0.5000  5 Si 2.23-2.26
Si 0.0564 0.9436 0.5000  2 Co 2.24, 1 Si 2.36
Si 0.2842 0.7158 0.5000  1 Co 2.23, 2 Si 2.42
Si 0.4436 0.5564 0.0000  2 Co 2.26, 1 Si 2.36
Si 0.5564 0.4436 0.0000  2 Co 2.26, 1 Si 2.36
Si 0.7158 0.2842 0.5000  1 Co 2.23, 2 Si 2.42
Si 0.9436 0.0564 0.5000  2 Co 2.24, 1 Si 2.36